# Tb2AgPd3

A geometry-optimized Tb2AgPd3 structure (PBE, Alexandria).

Output
**Total energy**: -124.208 eV per cell
**Energy above the most stable polymorph in this dataset**: 0.165 eV per atom
**Calculated formation energy**: -3.4 eV per formula unit

```
data_Tb2AgPd3
_chemical_formula_sum 'Tb8 Ag4 Pd12'
_symmetry_space_group_name_H-M 'C m c m'
_symmetry_Int_Tables_number 63
_symmetry_space_group_name_Hall '-C 2c 2'
_cell_length_a 10.893
_cell_length_b 8.157
_cell_length_c 5.823
_cell_angle_alpha 90.00
_cell_angle_beta 90.00
_cell_angle_gamma 90.00
loop_
_atom_site_label
_atom_site_fract_x
_atom_site_fract_y
_atom_site_fract_z
_atom_site_occupancy
Tb1 0.176 0.184 0.250 1
Ag1 0.000 0.276 0.750 1
Pd1 0.000 0.000 0.000 1
Pd2 0.137 0.500 0.000 1
```



# ZrAlAs3

A geometry-optimized ZrAlAs3 structure (PBE, Alexandria).

Output
**Total energy**: -24.635 eV per cell
**Energy above the most stable polymorph in this dataset**: 0.000 eV per atom
**Calculated formation energy**: 1.6 eV per formula unit

```
data_ZrAlAs3
_chemical_formula_sum 'Zr1 Al1 As3'
_symmetry_space_group_name_H-M 'P m -3 m'
_symmetry_Int_Tables_number 221
_symmetry_space_group_name_Hall '-P 4 2 3'
_cell_length_a 5.195
_cell_length_b 5.195
_cell_length_c 5.195
_cell_angle_alpha 90.00
_cell_angle_beta 90.00
_cell_angle_gamma 90.00
loop_
_atom_site_label
_atom_site_fract_x
_atom_site_fract_y
_atom_site_fract_z
_atom_site_occupancy
Zr1 0.000 0.000 0.000 1
Al1 0.500 0.500 0.500 1
As1 0.000 0.000 0.500 1
```



# SrAlMo2C

A geometry-optimized SrAlMo2C structure (PBE, Alexandria).

Output
**Total energy**: -33.090 eV per cell
**Calculated formation energy**: 3.2 eV per formula unit

```
data_SrAlMo2C
_chemical_formula_sum 'Sr1 Al1 Mo2 C1'
_symmetry_space_group_name_H-M 'P 4/m m m'
_symmetry_Int_Tables_number 123
_symmetry_space_group_name_Hall '-P 4 2'
_cell_length_a 4.319
_cell_length_b 4.319
_cell_length_c 4.584
_cell_angle_alpha 90.00
_cell_angle_beta 90.00
_cell_angle_gamma 90.00
loop_
_atom_site_label
_atom_site_fract_x
_atom_site_fract_y
_atom_site_fract_z
_atom_site_occupancy
Sr1 0.000 0.000 0.000 1
Al1 0.500 0.500 0.000 1
Mo1 0.000 0.500 0.500 1
C1 0.500 0.500 0.500 1
```



# Ag12HgAu7

A geometry-optimized Ag12HgAu7 structure (PBE, Alexandria).

Output
**Total energy**: -169.580 eV per cell
**Calculated formation energy**: 0.9 eV per formula unit

```
data_Ag12HgAu7
_chemical_formula_sum 'Ag36 Hg3 Au21'
_symmetry_space_group_name_H-M 'R -3'
_symmetry_Int_Tables_number 148
_symmetry_space_group_name_Hall '-R 3'
_cell_length_a 12.3666
_cell_length_b 12.3666
_cell_length_c 8.5523
_cell_angle_alpha 90.00
_cell_angle_beta 90.00
_cell_angle_gamma 120.00
loop_
_atom_site_label
_atom_site_fract_x
_atom_site_fract_y
_atom_site_fract_z
_atom_site_occupancy
Ag1 0.0518 0.2437 0.0796 1
Ag2 0.0629 0.2422 0.4164 1
Hg1 0.0000 0.0000 0.0000 1
Au1 0.0000 0.0000 0.5000 1
Au2 0.0564 0.2213 0.7478 1
```



# BaAcTeBr

A geometry-optimized BaAcTeBr structure (PBE, Alexandria).

Output
**Total energy**: -64.767 eV per cell
**Formation energy from raw total energies**: -1.337 eV per atom

```
data_BaAcTeBr
_chemical_formula_sum 'Ba4 Ac4 Te4 Br4'
_symmetry_space_group_name_H-M 'F -4 3 m'
_symmetry_Int_Tables_number 216
_symmetry_space_group_name_Hall 'F -4 2 3'
_cell_length_a 8.148
_cell_length_b 8.148
_cell_length_c 8.148
_cell_angle_alpha 90.00
_cell_angle_beta 90.00
_cell_angle_gamma 90.00
loop_
_atom_site_label
_atom_site_fract_x
_atom_site_fract_y
_atom_site_fract_z
_atom_site_occupancy
Ba1 0.000 0.000 0.000 1
Ac1 0.000 0.000 0.500 1
Te1 0.250 0.250 0.750 1
Br1 0.250 0.250 0.250 1
```



# Er3CuC

A geometry-optimized Er3CuC structure (PBE, Alexandria).

Output
**Total energy**: -112.537 eV per cell
**Energy above the most stable polymorph in this dataset**: 0.000 eV per atom
**Calculated formation energy**: -1.1 eV per formula unit

```
data_Er3CuC
_chemical_formula_sum 'Er12 Cu4 C4'
_symmetry_space_group_name_H-M 'C 1 2/m 1'
_symmetry_Int_Tables_number 12
_cell_length_a 11.232
_cell_length_b 4.926
_cell_length_c 7.856
_cell_angle_alpha 90.00
_cell_angle_beta 103.18
_cell_angle_gamma 90.00
loop_
_symmetry_equiv_pos_as_xyz
'x,y,z'
'-x,-y,-z'
'-x,y,-z'
'x,-y,z'
'x+1/2,y+1/2,z'
'-x+1/2,-y+1/2,-z'
'-x+1/2,y+1/2,-z'
'x+1/2,-y+1/2,z'
loop_
_atom_site_label
_atom_site_fract_x
_atom_site_fract_y
_atom_site_fract_z
_atom_site_occupancy
Er1 0.079 0.000 0.199 1
Er2 0.145 0.500 0.920 1
Er3 0.175 0.000 0.631 1
Cu1 0.077 0.500 0.415 1
C1 0.138 0.000 0.916 1
```



> Among the records above, which one has the highest total energy?

ZrAlAs3